A plane-wave DFT calculation with PBE-GGA was carried out for a geometry-optimized NdErNiPd structure.

Electronic total energy in eV per atom: -5.62
Crystal system: cubic
Energy relative to the lowest polymorph listed for this composition in meV/atom: 63
ΔE_f in meV/atom: -548

The structure in CIF format:
```
data_NdErNiPd
_symmetry_space_group_name_H-M 'P 1'
_symmetry_Int_Tables_number 1
_symmetry_space_group_name_Hall 'P 1'
_cell_length_a 4.949
_cell_length_b 4.949
_cell_length_c 4.949
_cell_angle_alpha 60.00
_cell_angle_beta 60.00
_cell_angle_gamma 60.00
loop_
_atom_site_label
_atom_site_type_symbol
_atom_site_fract_x
_atom_site_fract_y
_atom_site_fract_z
Nd1 Nd 0.000 0.000 0.000
Er1 Er 0.500 0.500 0.500
Ni1 Ni 0.250 0.250 0.250
Pd1 Pd 0.750 0.750 0.750
```

***

A plane-wave DFT calculation with PBE-GGA was carried out for a geometry-optimized NdErNiPt structure.

Electronic total energy in eV per atom: -6.10
Crystal system: orthorhombic
Energy relative to the lowest polymorph listed for this composition in meV/atom: 0
ΔE_f in meV/atom: -807

The structure in CIF format:
```
data_NdErNiPt
_symmetry_space_group_name_H-M 'P 1'
_symmetry_Int_Tables_number 1
_symmetry_space_group_name_Hall 'P 1'
_cell_length_a 4.446
_cell_length_b 5.478
_cell_length_c 5.478
_cell_angle_alpha 41.49
_cell_angle_beta 90.00
_cell_angle_gamma 90.00
loop_
_atom_site_label
_atom_site_type_symbol
_atom_site_fract_x
_atom_site_fract_y
_atom_site_fract_z
Nd1 Nd 0.000 0.000 0.000
Er1 Er 0.500 0.719 0.719
Ni1 Ni 0.000 0.277 0.277
Pt1 Pt 0.500 0.431 0.431
```

***

A plane-wave DFT calculation with PBE-GGA was carried out for a geometry-optimized NdErNiPt structure.

Electronic total energy in eV per atom: -6.01
Crystal system: cubic
Energy relative to the lowest polymorph listed for this composition in meV/atom: 85
ΔE_f in meV/atom: -722

The structure in CIF format:
```
data_NdErNiPt
_symmetry_space_group_name_H-M 'P 1'
_symmetry_Int_Tables_number 1
_symmetry_space_group_name_Hall 'P 1'
_cell_length_a 4.940
_cell_length_b 4.940
_cell_length_c 4.940
_cell_angle_alpha 60.00
_cell_angle_beta 60.00
_cell_angle_gamma 60.00
loop_
_atom_site_label
_atom_site_type_symbol
_atom_site_fract_x
_atom_site_fract_y
_atom_site_fract_z
Nd1 Nd 0.000 0.000 0.000
Er1 Er 0.500 0.500 0.500
Ni1 Ni 0.250 0.250 0.250
Pt1 Pt 0.750 0.750 0.750
```

***

A plane-wave DFT calculation with PBE-GGA was carried out for a geometry-optimized NdErNiRh structure.

Electronic total energy in eV per atom: -6.21
Crystal system: orthorhombic
Energy relative to the lowest polymorph listed for this composition in meV/atom: 0
ΔE_f in meV/atom: -594

The structure in CIF format:
```
data_NdErNiRh
_symmetry_space_group_name_H-M 'P 1'
_symmetry_Int_Tables_number 1
_symmetry_space_group_name_Hall 'P 1'
_cell_length_a 4.117
_cell_length_b 5.726
_cell_length_c 5.726
_cell_angle_alpha 39.49
_cell_angle_beta 90.00
_cell_angle_gamma 90.00
loop_
_atom_site_label
_atom_site_type_symbol
_atom_site_fract_x
_atom_site_fract_y
_atom_site_fract_z
Nd1 Nd 0.000 0.000 0.000
Er1 Er 0.500 0.719 0.719
Ni1 Ni 0.500 0.430 0.430
Rh1 Rh 0.000 0.274 0.274
```

***

A plane-wave DFT calculation with PBE-GGA was carried out for a geometry-optimized NdErNiRh structure.

Electronic total energy in eV per atom: -6.15
Crystal system: cubic
Energy relative to the lowest polymorph listed for this composition in meV/atom: 56
ΔE_f in meV/atom: -538

The structure in CIF format:
```
data_NdErNiRh
_symmetry_space_group_name_H-M 'P 1'
_symmetry_Int_Tables_number 1
_symmetry_space_group_name_Hall 'P 1'
_cell_length_a 4.888
_cell_length_b 4.888
_cell_length_c 4.888
_cell_angle_alpha 60.00
_cell_angle_beta 60.00
_cell_angle_gamma 60.00
loop_
_atom_site_label
_atom_site_type_symbol
_atom_site_fract_x
_atom_site_fract_y
_atom_site_fract_z
Nd1 Nd 0.000 0.000 0.000
Er1 Er 0.500 0.500 0.500
Ni1 Ni 0.750 0.750 0.750
Rh1 Rh 0.250 0.250 0.250
```

***

A plane-wave DFT calculation with PBE-GGA was carried out for a geometry-optimized NdErSi2Ni2 structure.

Electronic total energy in eV per atom: -6.05
Crystal system: trigonal

The structure in CIF format:
```
data_NdErSi2Ni2
_symmetry_space_group_name_H-M 'P 1'
_symmetry_Int_Tables_number 1
_symmetry_space_group_name_Hall 'P 1'
_cell_length_a 3.993
_cell_length_b 3.993
_cell_length_c 8.132
_cell_angle_alpha 90.00
_cell_angle_beta 90.00
_cell_angle_gamma 120.00
loop_
_atom_site_label
_atom_site_type_symbol
_atom_site_fract_x
_atom_site_fract_y
_atom_site_fract_z
Nd1 Nd 0.000 0.000 0.000
Er1 Er 0.000 0.000 0.500
Si1 Si 0.333 0.667 0.260
Si2 Si 0.667 0.333 0.740
Ni1 Ni 0.333 0.667 0.734
Ni2 Ni 0.667 0.333 0.266
```

***

A plane-wave DFT calculation with PBE-GGA was carried out for a geometry-optimized NdErTlNi structure.

Electronic total energy in eV per atom: -4.58
Crystal system: cubic
ΔE_f in meV/atom: -208

The structure in CIF format:
```
data_NdErTlNi
_symmetry_space_group_name_H-M 'P 1'
_symmetry_Int_Tables_number 1
_symmetry_space_group_name_Hall 'P 1'
_cell_length_a 5.183
_cell_length_b 5.183
_cell_length_c 5.183
_cell_angle_alpha 60.00
_cell_angle_beta 60.00
_cell_angle_gamma 60.00
loop_
_atom_site_label
_atom_site_type_symbol
_atom_site_fract_x
_atom_site_fract_y
_atom_site_fract_z
Nd1 Nd 0.000 0.000 0.000
Er1 Er 0.500 0.500 0.500
Tl1 Tl 0.250 0.250 0.250
Ni1 Ni 0.750 0.750 0.750
```

***

A plane-wave DFT calculation with PBE-GGA was carried out for a geometry-optimized NdErZnNi structure.

Electronic total energy in eV per atom: -4.39
Crystal system: cubic
ΔE_f in meV/atom: -293

The structure in CIF format:
```
data_NdErZnNi
_symmetry_space_group_name_H-M 'P 1'
_symmetry_Int_Tables_number 1
_symmetry_space_group_name_Hall 'P 1'
_cell_length_a 4.977
_cell_length_b 4.977
_cell_length_c 4.977
_cell_angle_alpha 60.00
_cell_angle_beta 60.00
_cell_angle_gamma 60.00
loop_
_atom_site_label
_atom_site_type_symbol
_atom_site_fract_x
_atom_site_fract_y
_atom_site_fract_z
Nd1 Nd 0.000 0.000 0.000
Er1 Er 0.500 0.500 0.500
Zn1 Zn 0.250 0.250 0.250
Ni1 Ni 0.750 0.750 0.750
```

***

A plane-wave DFT calculation with PBE-GGA was carried out for a geometry-optimized Nd2ErZn12Ni3 structure.

Electronic total energy in eV per atom: -2.52
Crystal system: trigonal
ΔE_f in meV/atom: 77

The structure in CIF format:
```
data_Nd2ErZn12Ni3
_symmetry_space_group_name_H-M 'P 1'
_symmetry_Int_Tables_number 1
_symmetry_space_group_name_Hall 'P 1'
_cell_length_a 9.306
_cell_length_b 9.306
_cell_length_c 9.306
_cell_angle_alpha 45.08
_cell_angle_beta 45.08
_cell_angle_gamma 45.08
loop_
_atom_site_label
_atom_site_type_symbol
_atom_site_fract_x
_atom_site_fract_y
_atom_site_fract_z
Nd1 Nd 0.127 0.127 0.127
Nd2 Nd 0.873 0.873 0.873
Er1 Er 0.500 0.500 0.500
Zn1 Zn 0.007 0.646 0.646
Zn2 Zn 0.252 0.252 0.660
Zn3 Zn 0.252 0.660 0.252
Zn4 Zn 0.340 0.748 0.748
Zn5 Zn 0.354 0.354 0.993
Zn6 Zn 0.354 0.993 0.354
Zn7 Zn 0.646 0.007 0.646
Zn8 Zn 0.646 0.646 0.007
Zn9 Zn 0.660 0.252 0.252
Zn10 Zn 0.748 0.340 0.748
Zn11 Zn 0.748 0.748 0.340
Zn12 Zn 0.993 0.354 0.354
Ni1 Ni 0.000 0.500 0.500
Ni2 Ni 0.500 0.000 0.500
Ni3 Ni 0.500 0.500 0.000
```

***

A plane-wave DFT calculation with PBE-GGA was carried out for a geometry-optimized Nd2ErNpO8 structure.

Electronic total energy in eV per atom: -8.69
Crystal system: monoclinic

The structure in CIF format:
```
data_Nd2ErNpO8
_symmetry_space_group_name_H-M 'P 1'
_symmetry_Int_Tables_number 1
_symmetry_space_group_name_Hall 'P 1'
_cell_length_a 3.925
_cell_length_b 7.553
_cell_length_c 5.540
_cell_angle_alpha 90.00
_cell_angle_beta 94.53
_cell_angle_gamma 90.00
loop_
_atom_site_label
_atom_site_type_symbol
_atom_site_fract_x
_atom_site_fract_y
_atom_site_fract_z
Nd1 Nd 0.000 0.241 0.000
Nd2 Nd 0.000 0.759 0.000
Er1 Er 0.500 0.000 0.500
Np1 Np 0.500 0.500 0.500
O1 O 0.010 0.000 0.256
O2 O 0.054 0.500 0.283
O3 O 0.466 0.278 0.728
O4 O 0.466 0.722 0.728
O5 O 0.534 0.278 0.272
O6 O 0.534 0.722 0.272
O7 O 0.946 0.500 0.717
O8 O 0.990 0.000 0.744
```